1:
DFT (PBE) results for a geometry-optimized RbNiI structure.

```
data_RbNiI
_chemical_formula_sum 'Rb2 Ni2 I2'
_cell_length_a 6.2242
_cell_length_b 6.2242
_cell_length_c 9.3794
_cell_angle_alpha 90.00
_cell_angle_beta 90.00
_cell_angle_gamma 120.00
_symmetry_space_group_name_H-M 'P 63/m m c'
_symmetry_Int_Tables_number 194
_symmetry_space_group_name_Hall '-P 6c 2c'
loop_
_atom_site_label
_atom_site_type_symbol
_atom_site_fract_x
_atom_site_fract_y
_atom_site_fract_z
Rb1 Rb 0.3333 0.6667 0.2500
Ni1 Ni 0.0000 0.0000 0.0000
I1 I 0.0000 0.0000 0.2500
```


2:
DFT (PBE) results for a geometry-optimized RbNiI structure.

```
data_RbNiI
_chemical_formula_sum 'Rb4 Ni4 I4'
_cell_length_a 4.468
_cell_length_b 10.347
_cell_length_c 9.099
_cell_angle_alpha 90.00
_cell_angle_beta 90.00
_cell_angle_gamma 90.00
_symmetry_space_group_name_H-M 'A m m 2'
_symmetry_Int_Tables_number 38
_symmetry_space_group_name_Hall 'A 2 -2'
loop_
_atom_site_label
_atom_site_type_symbol
_atom_site_fract_x
_atom_site_fract_y
_atom_site_fract_z
Rb1 Rb 0.000 0.245 0.000
Ni1 Ni 0.000 0.000 0.702
Ni2 Ni 0.500 0.000 0.555
I1 I 0.500 0.000 0.287
I2 I 0.500 0.000 0.819
```


Top of the stability list: 2, leading by 248 meV/atom.


1:
DFT (PBE) results for a geometry-optimized RbNiI structure.

```
data_RbNiI
_chemical_formula_sum 'Rb2 Ni2 I2'
_cell_length_a 5.416
_cell_length_b 5.416
_cell_length_c 6.327
_cell_angle_alpha 90.00
_cell_angle_beta 90.00
_cell_angle_gamma 90.00
_symmetry_space_group_name_H-M 'P 4/n m m'
_symmetry_Int_Tables_number 129
loop_
_symmetry_equiv_pos_as_xyz
'x,y,z'
'-x,-y,-z'
'-y+1/2,x,z'
'y+1/2,-x,-z'
'-x+1/2,-y+1/2,z'
'x+1/2,y+1/2,-z'
'y,-x+1/2,z'
'-y,x+1/2,-z'
'x+1/2,-y,-z'
'-x+1/2,y,z'
'-y,-x,-z'
'y,x,z'
'-x,y+1/2,-z'
'x,-y+1/2,z'
'y+1/2,x+1/2,-z'
'-y+1/2,-x+1/2,z'
loop_
_atom_site_label
_atom_site_type_symbol
_atom_site_fract_x
_atom_site_fract_y
_atom_site_fract_z
Rb1 Rb 0.250 0.250 0.076
Ni1 Ni 0.250 0.250 0.554
I1 I 0.250 0.750 0.500
```


2:
DFT (PBE) results for a geometry-optimized RbNiI structure.

```
data_RbNiI
_chemical_formula_sum 'Rb4 Ni4 I4'
_cell_length_a 11.865
_cell_length_b 7.615
_cell_length_c 3.925
_cell_angle_alpha 90.00
_cell_angle_beta 90.00
_cell_angle_gamma 90.00
_symmetry_space_group_name_H-M 'P n m a'
_symmetry_Int_Tables_number 62
_symmetry_space_group_name_Hall '-P 2ac 2n'
loop_
_atom_site_label
_atom_site_type_symbol
_atom_site_fract_x
_atom_site_fract_y
_atom_site_fract_z
Rb1 Rb 0.232 0.250 0.002
Ni1 Ni 0.032 0.750 0.001
I1 I 0.000 0.000 0.500
```


3:
DFT (PBE) results for a geometry-optimized RbNiI structure.

```
data_RbNiI
_chemical_formula_sum 'Rb2 Ni2 I2'
_cell_length_a 4.482
_cell_length_b 6.560
_cell_length_c 8.013
_cell_angle_alpha 99.36
_cell_angle_beta 105.86
_cell_angle_gamma 90.06
_symmetry_space_group_name_H-M 'P 1'
_symmetry_Int_Tables_number 1
_symmetry_space_group_name_Hall 'P 1'
loop_
_atom_site_label
_atom_site_type_symbol
_atom_site_fract_x
_atom_site_fract_y
_atom_site_fract_z
Rb1 Rb 0.000 0.000 0.000
Rb2 Rb 0.221 0.498 0.451
Ni1 Ni 0.018 0.529 0.036
Ni2 Ni 0.584 0.684 0.171
I1 I 0.456 0.427 0.910
I2 I 0.708 0.967 0.424
```


4:
DFT (PBE) results for a geometry-optimized RbNiI structure.

```
data_RbNiI
_chemical_formula_sum 'Rb2 Ni2 I2'
_cell_length_a 4.490
_cell_length_b 5.463
_cell_length_c 9.347
_cell_angle_alpha 106.85
_cell_angle_beta 90.14
_cell_angle_gamma 90.00
_symmetry_space_group_name_H-M 'P 1'
_symmetry_Int_Tables_number 1
_symmetry_space_group_name_Hall 'P 1'
loop_
_atom_site_label
_atom_site_type_symbol
_atom_site_fract_x
_atom_site_fract_y
_atom_site_fract_z
Rb1 Rb 0.000 0.000 0.000
Rb2 Rb 0.001 0.758 0.508
Ni1 Ni 0.004 0.383 0.763
Ni2 Ni 0.504 0.453 0.905
I1 I 0.499 0.587 0.178
I2 I 0.503 0.323 0.639
```


Top of the stability list: 4, leading by 18 meV/atom.


1:
DFT (PBE) results for a geometry-optimized RbNiI2 structure.

```
data_RbNiI2
_chemical_formula_sum 'Rb4 Ni4 I8'
_cell_length_a 8.262
_cell_length_b 8.262
_cell_length_c 8.437
_cell_angle_alpha 90.00
_cell_angle_beta 90.00
_cell_angle_gamma 90.00
_symmetry_space_group_name_H-M 'I -4 2 d'
_symmetry_Int_Tables_number 122
_symmetry_space_group_name_Hall 'I -4 2bw'
loop_
_atom_site_label
_atom_site_type_symbol
_atom_site_fract_x
_atom_site_fract_y
_atom_site_fract_z
Rb1 Rb 0.000 0.000 0.000
Ni1 Ni 0.000 0.000 0.500
I1 I 0.141 0.250 0.625
```


2:
DFT (PBE) results for a geometry-optimized RbNiI2 structure.

```
data_RbNiI2
_chemical_formula_sum 'Rb3 Ni3 I6'
_cell_length_a 4.2098
_cell_length_b 4.2098
_cell_length_c 29.6309
_cell_angle_alpha 90.00
_cell_angle_beta 90.00
_cell_angle_gamma 120.00
_symmetry_space_group_name_H-M 'R -3 m'
_symmetry_Int_Tables_number 166
_symmetry_space_group_name_Hall '-R 3 2"'
loop_
_atom_site_label
_atom_site_type_symbol
_atom_site_fract_x
_atom_site_fract_y
_atom_site_fract_z
Rb1 Rb 0.0000 0.0000 0.0000
Ni1 Ni 0.0000 0.0000 0.5000
I1 I 0.0000 0.0000 0.1175
```


Top of the stability list: 1, leading by 396 meV/atom.